a:
Below is TlIn2 at its PBEsol-relaxed geometry, with properties calculated at the meta-GGA SCAN level.

The calculation puts the total magnetization at 0.0 Bohr magnetons per cell.

It has space group I4/mmm (No. 139), with a = 3.363 Å, b = 3.363 Å, c = 13.903 Å, α = 90.00°, β = 90.00° and γ = 90.00°. The distinct sites, in fractional coordinates, are Tl at (0.000, 0.000, 0.000) and In at (0.000, 0.000, 0.329).

b:
Below is TlIn2 at its PBEsol-relaxed geometry, with properties calculated at the meta-GGA SCAN level.

The calculation puts the total magnetization at 0.0 Bohr magnetons per cell.

It has space group P6/mmm (No. 191), with a = 5.2761 Å, b = 5.2761 Å, c = 3.3219 Å, α = 90.00°, β = 90.00° and γ = 120.00°. The distinct sites, in fractional coordinates, are Tl at (0.0000, 0.0000, 0.0000) and In at (0.3333, 0.6667, 0.5000).

c:
Below is TlIn2 at its PBEsol-relaxed geometry, with properties calculated at the meta-GGA SCAN level.

The calculation puts the total magnetization at 0.0 Bohr magnetons per cell.

It has space group Fm-3m (No. 225), with a = 7.099 Å, b = 7.099 Å, c = 7.099 Å, α = 90.00°, β = 90.00° and γ = 90.00°. The distinct sites, in fractional coordinates, are Tl at (0.000, 0.000, 0.000) and In at (0.250, 0.250, 0.250).

d:
Below is TlIn2 at its PBEsol-relaxed geometry, with properties calculated at the meta-GGA SCAN level.

The calculation puts the total magnetization at 0.0 Bohr magnetons per cell.

It has space group P6_3/mmc (No. 194), with a = 5.4549 Å, b = 5.4549 Å, c = 6.2295 Å, α = 90.00°, β = 90.00° and γ = 120.00°. The distinct sites, in fractional coordinates, are Tl at (0.3333, 0.6667, 0.2500), In at (0.0000, 0.0000, 0.0000) and In at (0.3333, 0.6667, 0.7500).

The relative energies come out as a 14; b 0; c 110; d 52, with values in meV/atom.